1.
A plane-wave DFT calculation with GGA-PBE was carried out for an optimized crystal structure of Ce2PrPt.

Lattice parameters (Å, degrees): 9.606 9.606 9.606 23.39 23.39 23.39
Atoms (fractional coordinates):
Ce (0.000, 0.000, 0.000)
Ce (0.206, 0.206, 0.206)
Pr (0.435, 0.435, 0.435)
Pt (0.603, 0.603, 0.603)

Calculated values
Uncorrected energy (eV per atom): -6.064
Symmetry: No. 160


2.
A plane-wave DFT calculation with GGA-PBE was carried out for an optimized crystal structure of Ce2PrPt.

Lattice parameters (Å, degrees): 3.732 3.732 7.933 90.00 90.00 90.00
Atoms (fractional coordinates):
Ce (0.000, 0.000, 0.190)
Ce (0.000, 0.000, 0.810)
Pr (0.500, 0.500, 0.500)
Pt (0.500, 0.500, 0.000)

Calculated values
Uncorrected energy (eV per atom): -6.117
Symmetry: No. 123


3.
A plane-wave DFT calculation with GGA-PBE was carried out for an optimized crystal structure of Ce3PrPt2.

Lattice parameters (Å, degrees): 8.804 8.804 8.605 117.51 117.51 30.00
Atoms (fractional coordinates):
Ce (0.067, 0.067, 0.441)
Ce (0.288, 0.288, 0.615)
Ce (0.373, 0.373, 0.306)
Ce (0.627, 0.627, 0.694)
Ce (0.712, 0.712, 0.385)
Ce (0.933, 0.933, 0.559)
Pr (0.110, 0.110, 0.029)
Pr (0.890, 0.890, 0.971)
Pt (0.241, 0.241, 0.889)
Pt (0.479, 0.479, 0.810)
Pt (0.521, 0.521, 0.190)
Pt (0.759, 0.759, 0.111)

Calculated values
Uncorrected energy (eV per atom): -6.467
Symmetry: No. 12


4.
A plane-wave DFT calculation with GGA-PBE was carried out for an optimized crystal structure of Ce2PrPt9.

Lattice parameters (Å, degrees): 9.496 9.496 9.496 33.36 33.36 33.36
Atoms (fractional coordinates):
Ce (0.140, 0.140, 0.140)
Ce (0.860, 0.860, 0.860)
Pr (0.000, 0.000, 0.000)
Pt (0.082, 0.587, 0.587)
Pt (0.333, 0.333, 0.333)
Pt (0.413, 0.413, 0.918)
Pt (0.413, 0.918, 0.413)
Pt (0.500, 0.500, 0.500)
Pt (0.587, 0.082, 0.587)
Pt (0.587, 0.587, 0.082)
Pt (0.667, 0.667, 0.667)
Pt (0.918, 0.413, 0.413)

Calculated values
Uncorrected energy (eV per atom): -6.831
Symmetry: No. 166


5.
A plane-wave DFT calculation with GGA-PBE was carried out for an optimized crystal structure of CePr5Pt5.

Lattice parameters (Å, degrees): 7.296 7.296 8.417 106.94 106.94 47.95
Atoms (fractional coordinates):
Ce (0.000, 0.000, 0.000)
Pr (0.000, 0.000, 0.500)
Pr (0.325, 0.325, 0.671)
Pr (0.329, 0.329, 0.159)
Pr (0.671, 0.671, 0.841)
Pr (0.675, 0.675, 0.329)
Pt (0.159, 0.159, 0.833)
Pt (0.162, 0.162, 0.329)
Pt (0.500, 0.500, 0.000)
Pt (0.838, 0.838, 0.671)
Pt (0.841, 0.841, 0.167)

Calculated values
Uncorrected energy (eV per atom): -6.414
Symmetry: No. 12


6.
A plane-wave DFT calculation with GGA-PBE was carried out for an optimized crystal structure of Ce3Pr2Pt4.

Lattice parameters (Å, degrees): 7.999 7.797 7.647 90.00 110.30 90.00
Atoms (fractional coordinates):
Ce (0.000, 0.000, 0.000)
Ce (0.000, 0.500, 0.500)
Ce (0.259, 0.161, 0.756)
Ce (0.259, 0.339, 0.256)
Ce (0.741, 0.661, 0.744)
Ce (0.741, 0.839, 0.244)
Pr (0.309, 0.677, 0.932)
Pr (0.309, 0.823, 0.432)
Pr (0.691, 0.177, 0.568)
Pr (0.691, 0.323, 0.068)
Pt (0.001, 0.133, 0.367)
Pt (0.001, 0.367, 0.867)
Pt (0.419, 0.044, 0.154)
Pt (0.419, 0.456, 0.654)
Pt (0.581, 0.544, 0.346)
Pt (0.581, 0.956, 0.846)
Pt (0.999, 0.633, 0.133)
Pt (0.999, 0.867, 0.633)

Calculated values
Uncorrected energy (eV per atom): -6.720
Symmetry: No. 14


7.
A plane-wave DFT calculation with GGA-PBE was carried out for an optimized crystal structure of Ce2Pr2Pt3.

Lattice parameters (Å, degrees): 7.763 7.763 5.905 99.75 99.75 34.04
Atoms (fractional coordinates):
Ce (0.167, 0.167, 0.317)
Ce (0.833, 0.833, 0.683)
Pr (0.409, 0.409, 0.198)
Pr (0.591, 0.591, 0.802)
Pt (0.000, 0.000, 0.000)
Pt (0.231, 0.231, 0.821)
Pt (0.769, 0.769, 0.179)

Calculated values
Uncorrected energy (eV per atom): -6.525
Symmetry: No. 12


8.
A plane-wave DFT calculation with GGA-PBE was carried out for an optimized crystal structure of CePrPtRh.

Lattice parameters (Å, degrees): 4.278 5.981 5.981 37.99 90.00 90.00
Atoms (fractional coordinates):
Ce (0.000, 0.000, 0.000)
Pr (0.500, 0.726, 0.726)
Pt (0.000, 0.284, 0.284)
Rh (0.500, 0.466, 0.466)

Calculated values
Uncorrected energy (eV per atom): -6.940
Symmetry: No. 38


9.
A plane-wave DFT calculation with GGA-PBE was carried out for an optimized crystal structure of CePrPtRh.

Lattice parameters (Å, degrees): 5.046 5.046 5.046 60.00 60.00 60.00
Atoms (fractional coordinates):
Ce (0.000, 0.000, 0.000)
Pr (0.500, 0.500, 0.500)
Pt (0.250, 0.250, 0.250)
Rh (0.750, 0.750, 0.750)

Calculated values
Uncorrected energy (eV per atom): -6.819
Symmetry: No. 216


10.
A plane-wave DFT calculation with GGA-PBE was carried out for an optimized crystal structure of Ce2PrSi2Pt2.

Lattice parameters (Å, degrees): 9.692 9.692 9.692 25.54 25.54 25.54
Atoms (fractional coordinates):
Ce (0.139, 0.139, 0.139)
Ce (0.861, 0.861, 0.861)
Pr (0.000, 0.000, 0.000)
Si (0.257, 0.257, 0.257)
Si (0.743, 0.743, 0.743)
Pt (0.407, 0.407, 0.407)
Pt (0.593, 0.593, 0.593)

Calculated values
Energy relative to the elements, uncorrected (eV per atom): -0.96
Symmetry: No. 166


11.
A plane-wave DFT calculation with GGA-PBE was carried out for an optimized crystal structure of CePr2Si3Pt12.

Lattice parameters (Å, degrees): 7.835 7.835 7.835 64.01 64.01 64.01
Atoms (fractional coordinates):
Ce (0.000, 0.000, 0.000)
Pr (0.401, 0.401, 0.401)
Pr (0.599, 0.599, 0.599)
Si (0.000, 0.000, 0.500)
Si (0.000, 0.500, 0.000)
Si (0.500, 0.000, 0.000)
Pt (0.099, 0.652, 0.652)
Pt (0.142, 0.142, 0.600)
Pt (0.142, 0.600, 0.142)
Pt (0.348, 0.348, 0.901)
Pt (0.348, 0.901, 0.348)
Pt (0.400, 0.858, 0.858)
Pt (0.600, 0.142, 0.142)
Pt (0.652, 0.099, 0.652)
Pt (0.652, 0.652, 0.099)
Pt (0.858, 0.400, 0.858)
Pt (0.858, 0.858, 0.400)
Pt (0.901, 0.348, 0.348)

Calculated values
Energy relative to the elements, uncorrected (eV per atom): -0.56
Symmetry: No. 166


12.
A plane-wave DFT calculation with GGA-PBE was carried out for an optimized crystal structure of CePrSi2Pt2.

Lattice parameters (Å, degrees): 4.235 4.235 8.226 90.00 90.00 120.00
Atoms (fractional coordinates):
Ce (0.000, 0.000, 0.000)
Pr (0.000, 0.000, 0.500)
Si (0.333, 0.667, 0.242)
Si (0.667, 0.333, 0.758)
Pt (0.333, 0.667, 0.758)
Pt (0.667, 0.333, 0.242)

Calculated values
Energy relative to the elements, uncorrected (eV per atom): -1.10
Symmetry: No. 164